Density functional theory data (PBE-GGA) for Ac3GeOs after structural relaxation.

extended XYZ file:
```
5
Lattice="-4.804 2.963 -0.791 -0.137 -1.675 -5.446 -3.064 -4.571 1.483" Properties=species:S:1:pos:R:3 pbc="T T T"
Ac -0.069 -0.838 -2.723
Ac -1.532 -2.285 0.742
Ac -2.402 1.482 -0.395
Os 0.000 0.000 0.000
Ge -4.002 -1.641 -2.377
```

Calculated values
DFT total energy	-5.656	eV per atom



Density functional theory data (PBE-GGA) for CdAsIr2 after structural relaxation.

extended XYZ file:
```
4
Lattice="2.983 0.000 0.000 0.000 2.983 0.000 0.000 0.000 7.265" Properties=species:S:1:pos:R:3 pbc="T T T"
As 1.492 1.492 1.816
Ir 0.000 0.000 0.268
Ir 0.000 0.000 3.365
Cd 1.492 1.492 5.449
```

Calculated values
DFT total energy	-5.730	eV per atom



Density functional theory data (PBE-GGA) for Ba2Li4Mg5 after structural relaxation.

extended XYZ file:
```
11
Lattice="6.356 0.000 0.000 3.178 7.024 -0.542 3.178 1.225 6.937" Properties=species:S:1:pos:R:3 pbc="T T T"
Ba 6.356 5.746 4.454
Ba 6.356 2.503 1.941
Li 3.178 1.182 2.821
Li 9.534 7.067 3.574
Li 9.534 5.221 5.953
Li 3.178 3.028 0.441
Mg 4.751 2.281 5.575
Mg 7.962 5.968 0.819
Mg 3.178 4.124 3.197
Mg 7.962 2.281 5.575
Mg 4.751 5.968 0.819
```

Calculated values
DFT total energy	-1.759	eV per atom



Density functional theory data (PBE-GGA) for SiTc2Hg after structural relaxation.

extended XYZ file:
```
8
Lattice="3.951 0.000 0.000 0.000 3.951 0.000 1.976 1.976 9.260" Properties=species:S:1:pos:R:3 pbc="T T T"
Si 1.976 1.976 0.000
Si 1.976 3.951 4.630
Hg 0.000 0.000 0.000
Hg 3.951 1.976 4.630
Tc 2.625 0.988 2.315
Tc 1.327 2.963 2.315
Tc 2.963 3.302 6.945
Tc 4.939 4.600 6.945
```

Calculated values
formation energy from raw total energies	0.6056	eV per atom
DFT total energy	-6.009	eV per atom



Density functional theory data (PBE-GGA) for HfZn2CrRe after structural relaxation.

extended XYZ file:
```
5
Lattice="4.820 0.000 0.000 0.000 4.225 0.000 0.000 0.000 4.820" Properties=species:S:1:pos:R:3 pbc="T T T"
Re 2.410 2.113 2.410
Zn 0.000 0.000 2.410
Zn 2.410 0.000 0.000
Hf 0.000 0.000 0.000
Cr 0.000 2.113 0.000
```

Calculated values
DFT total energy	-4.715	eV per atom



Density functional theory data (PBE-GGA) for Ba2Tl6ZnPb after structural relaxation.

extended XYZ file:
```
20
Lattice="-0.133 7.040 2.873 -6.652 3.427 1.360 -2.338 -1.766 14.283" Properties=species:S:1:pos:R:3 pbc="T T T"
Ba -6.810 8.749 8.441
Ba -2.313 -0.048 10.075
Ba -6.849 6.065 15.016
Ba -2.274 2.636 3.500
Tl -3.314 6.881 8.982
Tl -7.113 4.775 8.099
Tl -3.236 2.778 7.307
Tl -5.809 1.820 9.534
Tl -2.009 3.926 10.417
Tl -5.886 5.924 11.209
Tl -3.654 3.768 15.168
Tl -6.529 2.174 14.500
Tl -3.595 0.662 13.900
Tl -5.469 4.933 3.349
Tl -2.593 6.527 4.016
Tl -5.528 8.039 4.616
Zn 0.000 0.000 0.000
Zn -4.561 4.351 9.258
Pb -4.544 5.532 6.363
Pb -4.578 3.169 12.153
```

Calculated values
DFT total energy	-2.434	eV per atom



Density functional theory data (PBE-GGA) for K2P2PdO7 after structural relaxation.

extended XYZ file:
```
48
Lattice="7.089 0.000 0.000 0.000 9.517 0.000 0.000 0.000 11.136" Properties=species:S:1:pos:R:3 pbc="T T T"
K 5.316 3.862 5.234
K 5.316 8.621 0.334
K 1.772 5.654 5.902
K 1.772 0.896 10.801
K 1.772 6.176 10.775
K 1.772 1.417 5.929
K 5.316 3.341 0.361
K 5.316 8.099 5.207
P 3.294 3.527 8.590
P 0.251 8.286 8.113
P 6.838 5.989 2.545
P 3.795 1.231 3.023
P 3.795 5.989 2.545
P 6.838 1.231 3.023
P 0.251 3.527 8.590
P 3.294 8.286 8.113
Pd 5.316 5.896 8.394
Pd 5.316 1.137 8.310
Pd 1.772 3.621 2.742
Pd 1.772 8.379 2.826
O 3.863 2.233 9.246
O 6.769 6.992 7.458
O 0.319 7.283 1.890
O 3.225 2.525 3.678
O 3.225 7.283 1.890
O 0.319 2.525 3.678
O 6.769 2.233 9.246
O 3.863 6.992 7.458
O 3.869 4.783 9.314
O 6.763 0.024 7.390
O 0.325 4.734 1.822
O 3.219 9.492 3.746
O 3.219 4.734 1.822
O 0.325 9.492 3.746
O 6.763 4.783 9.314
O 3.869 0.024 7.390
O 3.293 3.562 7.088
O 0.252 8.320 9.616
O 6.837 5.955 4.048
O 3.796 1.197 1.520
O 3.796 5.955 4.048
O 6.837 1.197 1.520
O 0.252 3.562 7.088
O 3.293 8.320 9.616
O 1.772 3.515 9.201
O 1.772 8.273 7.503
O 5.316 6.002 1.935
O 5.316 1.244 3.633
```

Calculated values
formation energy from raw total energies	-1.9700	eV per atom
DFT total energy	-6.380	eV per atom



Density functional theory data (PBE-GGA) for RbAg2Cl3 after structural relaxation.

extended XYZ file:
```
12
Lattice="7.022 0.000 0.000 0.000 7.033 -3.764 0.000 -0.002 7.977" Properties=species:S:1:pos:R:3 pbc="T T T"
Rb 3.735 2.104 1.261
Rb 0.224 4.927 2.952
Ag 3.610 4.583 5.514
Ag 3.610 7.024 1.440
Ag 0.099 2.448 -1.301
Ag 0.099 0.008 2.772
Cl 1.056 4.790 -1.898
Cl 1.056 0.586 5.118
Cl 4.567 2.242 6.110
Cl 4.567 6.445 -0.906
Cl 0.360 2.122 1.271
Cl 3.871 4.909 2.941
```

Calculated values
formation energy from raw total energies	-0.9440	eV per atom
DFT total energy	-2.979	eV per atom



Density functional theory data (PBE-GGA) for RbTiI2 after structural relaxation.

extended XYZ file:
```
4
Lattice="1.541 -3.946 3.930 -0.878 1.022 5.619 -4.052 -2.951 2.874" Properties=species:S:1:pos:R:3 pbc="T T T"
I -0.847 -1.469 3.106
I -2.542 -4.406 9.317
Rb -1.695 -2.937 6.211
Ti 0.000 0.000 0.000
```

Calculated values
formation energy from raw total energies	-0.2233	eV per atom
DFT total energy	-3.214	eV per atom



Density functional theory data (PBE-GGA) for K2LiCd12Au3 after structural relaxation.

extended XYZ file:
```
18
Lattice="-7.600 1.079 -3.821 -6.089 -1.306 5.895 -3.034 7.667 2.354" Properties=species:S:1:pos:R:3 pbc="T T T"
K -10.165 4.522 2.692
K -6.558 2.917 1.736
Li 0.000 0.000 0.000
Cd -6.657 6.403 2.608
Cd -12.818 2.454 2.597
Cd -10.470 5.841 5.772
Cd -9.145 2.814 -0.757
Cd -11.247 7.068 0.776
Cd -8.321 1.514 4.537
Cd -10.066 1.036 1.820
Cd -3.906 4.985 1.831
Cd -6.253 1.598 -1.344
Cd -7.578 4.626 5.185
Cd -5.476 0.372 3.652
Cd -8.402 5.926 -0.109
Au -3.800 0.540 -1.911
Au -3.044 -0.653 2.948
Au -1.517 3.833 1.177
```

Calculated values
DFT total energy	-1.339	eV per atom



Density functional theory data (PBE-GGA) for SiRuCl2 after structural relaxation.

extended XYZ file:
```
4
Lattice="-3.214 -0.517 0.784 -0.691 -0.593 -3.222 1.437 -7.346 1.045" Properties=species:S:1:pos:R:3 pbc="T T T"
Cl 1.307 -6.679 0.950
Cl -1.452 -3.111 -0.855
Ru 0.842 -4.305 0.612
Si -1.008 -5.380 -0.533
```

Calculated values
formation energy from raw total energies	-0.0339	eV per atom
DFT total energy	-4.632	eV per atom



Density functional theory data (PBE-GGA) for Ho3ThSc2Te6 after structural relaxation.

extended XYZ file:
```
12
Lattice="-2.942 -2.886 0.929 6.184 -6.241 0.197 1.657 4.115 8.425" Properties=species:S:1:pos:R:3 pbc="T T T"
Ho 1.621 -4.563 0.563
Ho -0.409 -0.514 6.714
Ho 5.307 -4.497 2.837
Th -1.471 -1.443 0.464
Sc 2.695 -3.741 6.518
Sc 2.204 -1.270 3.033
Te 5.612 -3.821 5.903
Te 2.255 -4.233 3.598
Te -0.714 -1.190 3.648
Te 1.654 -1.605 0.254
Te 3.244 -3.407 9.297
Te 2.644 -0.779 5.953
```

Calculated values
formation energy from raw total energies	-1.1438	eV per atom
DFT total energy	-5.533	eV per atom



Density functional theory data (PBE-GGA) for DyHoGaPd after structural relaxation.

extended XYZ file:
```
4
Lattice="3.723 0.000 0.000 0.000 4.488 0.000 -1.861 0.000 5.490" Properties=species:S:1:pos:R:3 pbc="T T T"
Dy 0.000 0.000 1.575
Ho 1.861 2.244 3.945
Ga 0.000 0.000 4.633
Pd 1.861 2.244 0.827
```

Calculated values
DFT total energy	-5.100	eV per atom



Density functional theory data (PBE-GGA) for BeCoNi6 after structural relaxation.

extended XYZ file:
```
8
Lattice="-5.825 -1.724 2.136 -0.544 -4.037 4.990 -2.118 -0.041 3.905" Properties=species:S:1:pos:R:3 pbc="T T T"
Be 0.000 0.000 0.000
Co -4.244 -2.901 5.515
Ni -2.027 -1.922 5.326
Ni -6.014 -1.437 4.735
Ni -3.811 -1.956 3.321
Ni -2.473 -4.365 6.295
Ni -6.460 -3.880 5.705
Ni -4.676 -3.846 7.710
```

Calculated values
DFT total energy	-5.641	eV per atom



Density functional theory data (PBE-GGA) for TcAgP after structural relaxation.

extended XYZ file:
```
3
Lattice="0.649 2.869 0.273 -2.242 -0.849 -1.726 -4.016 0.433 5.005" Properties=species:S:1:pos:R:3 pbc="T T T"
Tc -2.815 1.899 2.723
Ag -0.001 0.000 0.002
P -2.792 0.553 0.827
```

Calculated values
DFT total energy	-6.142	eV per atom



Density functional theory data (PBE-GGA) for Li4LaGa4 after structural relaxation.

extended XYZ file:
```
18
Lattice="5.987 0.000 0.000 0.000 5.987 0.000 0.000 0.000 9.366" Properties=species:S:1:pos:R:3 pbc="T T T"
Li 1.376 2.994 8.560
Li 4.611 2.994 8.560
Li 2.994 4.611 0.806
Li 2.994 1.376 0.806
Li 0.000 4.370 3.877
Li 0.000 1.617 3.877
Li 1.617 0.000 5.489
Li 4.370 0.000 5.489
La 0.000 0.000 0.000
La 2.994 2.994 4.683
Ga 2.994 4.692 7.425
Ga 2.994 1.296 7.425
Ga 4.692 2.994 1.941
Ga 1.296 2.994 1.941
Ga 1.698 0.000 2.742
Ga 4.289 0.000 2.742
Ga 0.000 1.698 6.624
Ga 0.000 4.289 6.624
```

Calculated values
DFT total energy	-3.028	eV per atom



Density functional theory data (PBE-GGA) for TbSmLu after structural relaxation.

extended XYZ file:
```
3
Lattice="-1.806 2.905 -0.522 -2.820 -0.897 4.765 4.757 2.970 0.073" Properties=species:S:1:pos:R:3 pbc="T T T"
Lu -0.597 0.879 3.114
Tb 1.028 3.618 1.289
Sm -0.299 0.481 -0.086
```

Calculated values
DFT total energy	-4.546	eV per atom



Number 1: total magnetic moment 0.0 Bohr magnetons per cell. Number 2: total magnetic moment 0.0 Bohr magnetons per cell. Number 3: total magnetic moment 0.0 Bohr magnetons per cell. Number 4: total magnetic moment 0.0 Bohr magnetons per cell. Number 5: total magnetic moment 0.0 Bohr magnetons per cell. Number 6: total magnetic moment 0.0 Bohr magnetons per cell. Number 7: total magnetic moment 0.0 Bohr magnetons per cell. Number 8: total magnetic moment 0.0 Bohr magnetons per cell. Number 9: total magnetic moment 3.0 Bohr magnetons per cell. Number 10: total magnetic moment 0.0 Bohr magnetons per cell. Number 11: total magnetic moment 0.0 Bohr magnetons per cell. Number 12: total magnetic moment 0.0 Bohr magnetons per cell. Number 13: total magnetic moment 0.0 Bohr magnetons per cell. Number 14: total magnetic moment 4.4 Bohr magnetons per cell. Number 15: total magnetic moment 0.0 Bohr magnetons per cell. Number 16: total magnetic moment 0.0 Bohr magnetons per cell. Number 17: total magnetic moment 0.0 Bohr magnetons per cell.